1.
Material: KHg2Se
Method: DFT, GGA-PBE
State: relaxed

a = 3.256 Å, b = 4.759 Å, c = 7.383 Å
α = 90.00°, β = 90.00°, γ = 90.00°
Fractional coordinates of all 4 atoms:
K1 0.000 0.000 0.000
Hg1 0.000 0.000 0.489
Hg2 0.500 0.500 0.685
Se1 0.500 0.500 0.222

Computed properties:
**Electronic total energy**: -1.576 eV per atom
**ΔE_f (raw)**: -280 meV per atom
**D(E_F)**: 1.138 states/eV/cell
**Energy relative to the lowest polymorph listed for this composition**: 116 meV/atom

***

2.
Material: KHg2Se
Method: DFT, GGA-PBE
State: relaxed

a = 5.455 Å, b = 5.455 Å, c = 5.455 Å
α = 60.00°, β = 60.00°, γ = 60.00°
Fractional coordinates of all 4 atoms:
K1 0.000 0.000 0.000
Hg1 0.250 0.250 0.250
Hg2 0.500 0.500 0.500
Se1 0.750 0.750 0.750

Computed properties:
**Electronic total energy**: -1.604 eV per atom
**ΔE_f (raw)**: -307 meV per atom
**D(E_F)**: 2.731 states/eV/cell
**Energy relative to the lowest polymorph listed for this composition**: 88 meV/atom

***

3.
Material: KHgSe2
Method: DFT, GGA-PBE
State: relaxed

a = 4.234 Å, b = 4.234 Å, c = 6.499 Å
α = 90.00°, β = 90.00°, γ = 90.00°
Fractional coordinates of all 4 atoms:
K1 0.000 0.000 0.000
Hg1 0.000 0.000 0.500
Se1 0.500 0.500 0.311
Se2 0.500 0.500 0.689

Computed properties:
**Electronic total energy**: -2.322 eV per atom
**ΔE_f (raw)**: -230 meV per atom
**D(E_F)**: 2.462 states/eV/cell
**Energy relative to the lowest polymorph listed for this composition**: 212 meV/atom

***

4.
Material: KHg3Se3
Method: DFT, GGA-PBE
State: relaxed

a = 11.267 Å, b = 11.267 Å, c = 4.498 Å
α = 90.00°, β = 90.00°, γ = 120.00°
Fractional coordinates of all 14 atoms:
K1 0.333 0.667 0.250
K2 0.667 0.333 0.750
Hg1 0.040 0.684 0.750
Hg2 0.316 0.356 0.750
Hg3 0.356 0.040 0.250
Hg4 0.644 0.960 0.750
Hg5 0.684 0.644 0.250
Hg6 0.960 0.316 0.250
Se1 0.116 0.418 0.750
Se2 0.301 0.884 0.750
Se3 0.418 0.301 0.250
Se4 0.582 0.699 0.750
Se5 0.699 0.116 0.250
Se6 0.884 0.582 0.250

Computed properties:
**Electronic total energy**: -2.137 eV per atom
**ΔE_f (raw)**: -357 meV per atom
**D(E_F)**: 4.364 states/eV/cell
**Energy relative to the lowest polymorph listed for this composition**: 0 meV/atom

***

5.
Material: KHgSe2
Method: DFT, GGA-PBE
State: relaxed

a = 6.860 Å, b = 6.860 Å, c = 6.860 Å
α = 108.58°, β = 108.58°, γ = 111.27°
Fractional coordinates of all 8 atoms:
K1 0.000 0.000 0.000
K2 0.750 0.250 0.500
Hg1 0.250 0.750 0.500
Hg2 0.500 0.500 0.000
Se1 0.196 0.625 0.071
Se2 0.375 0.446 0.571
Se3 0.554 0.125 0.929
Se4 0.875 0.804 0.429

Computed properties:
**Electronic total energy**: -2.534 eV per atom
**ΔE_f (raw)**: -442 meV per atom
**D(E_F)**: 5.074 states/eV/cell
**Energy relative to the lowest polymorph listed for this composition**: 0 meV/atom

***

6.
Material: KHg2Se
Method: DFT, GGA-PBE
State: relaxed

a = 4.877 Å, b = 4.276 Å, c = 6.816 Å
α = 90.00°, β = 98.21°, γ = 90.00°
Fractional coordinates of all 4 atoms:
K1 0.000 0.000 0.000
Hg1 0.447 0.000 0.585
Hg2 0.546 0.500 0.301
Se1 0.473 0.500 0.879

Computed properties:
**Electronic total energy**: -1.692 eV per atom
**ΔE_f (raw)**: -395 meV per atom
**D(E_F)**: 2.225 states/eV/cell
**Energy relative to the lowest polymorph listed for this composition**: 0 meV/atom